# 1
TbCePmSm2 | PBE | relaxed

Computed properties:
Formation enthalpy at 0 K = 0.275 eV per atom
Symmetry = Pmma, No. 51

```
data_TbCePmSm2
_symmetry_space_group_name_H-M 'P 1'
_symmetry_Int_Tables_number 1
_cell_length_a 6.949
_cell_length_b 8.059
_cell_length_c 5.991
_cell_angle_alpha 89.99
_cell_angle_beta 90.00
_cell_angle_gamma 90.00
loop_
_symmetry_equiv_pos_as_xyz
'x,y,z'
loop_
_atom_site_label
_atom_site_fract_x
_atom_site_fract_y
_atom_site_fract_z
Tb1 0.593 0.000 0.250
Tb2 0.407 0.000 0.750
Ce1 0.000 0.000 0.000
Ce2 0.000 0.000 0.500
Pm1 0.163 0.500 0.750
Pm2 0.837 0.500 0.250
Sm1 0.691 0.704 0.750
Sm2 0.691 0.296 0.750
Sm3 0.309 0.704 0.250
Sm4 0.309 0.296 0.250
```

---

# 2
AcCePr2 | PBE | relaxed

Computed properties:
Formation enthalpy at 0 K = 0.097 eV per atom
Symmetry = R3m, No. 160

```
data_AcCePr2
_symmetry_space_group_name_H-M 'P 1'
_symmetry_Int_Tables_number 1
_cell_length_a 3.758
_cell_length_b 3.758
_cell_length_c 12.305
_cell_angle_alpha 81.22
_cell_angle_beta 81.22
_cell_angle_gamma 60.00
loop_
_symmetry_equiv_pos_as_xyz
'x,y,z'
loop_
_atom_site_label
_atom_site_fract_x
_atom_site_fract_y
_atom_site_fract_z
Ac1 0.667 0.667 0.000
Ce1 0.500 0.500 0.499
Pr1 0.087 0.087 0.740
Pr2 0.246 0.246 0.261
```

---

# 3
Li2PuPbSe4 | PBE | relaxed

Computed properties:
Formation energy without anion corrections = -1.048 eV per atom
Symmetry = P2/m, No. 10

```
data_Li2PuPbSe4
_symmetry_space_group_name_H-M 'P 1'
_symmetry_Int_Tables_number 1
_cell_length_a 4.142
_cell_length_b 6.907
_cell_length_c 7.347
_cell_angle_alpha 68.81
_cell_angle_beta 90.00
_cell_angle_gamma 90.00
loop_
_symmetry_equiv_pos_as_xyz
'x,y,z'
loop_
_atom_site_label
_atom_site_fract_x
_atom_site_fract_y
_atom_site_fract_z
Li1 0.000 0.000 0.000
Li2 0.500 0.000 0.500
Pu1 0.000 0.500 0.500
Pb1 0.500 0.500 0.000
Se1 0.000 0.762 0.719
Se2 0.000 0.238 0.281
Se3 0.500 0.756 0.259
Se4 0.500 0.244 0.741
```

---

# 4
DyCuSe2 | PBE | relaxed

Computed properties:
Formation energy without anion corrections = -1.220 eV per atom
Symmetry = P3m1, No. 156

```
data_DyCuSe2
_symmetry_space_group_name_H-M 'P 1'
_symmetry_Int_Tables_number 1
_cell_length_a 4.101
_cell_length_b 4.101
_cell_length_c 6.433
_cell_angle_alpha 90.00
_cell_angle_beta 90.00
_cell_angle_gamma 120.00
loop_
_symmetry_equiv_pos_as_xyz
'x,y,z'
loop_
_atom_site_label
_atom_site_fract_x
_atom_site_fract_y
_atom_site_fract_z
Cu1 0.667 0.333 0.129
Se1 0.333 0.667 0.238
Se2 0.667 0.333 0.748
Dy1 0.000 0.000 0.511
```

---

# 5
InTcNi2C | PBE | relaxed

Computed properties:
Formation enthalpy at 0 K = -0.013 eV per atom
Symmetry = P4/mmm, No. 123

```
data_InTcNi2C
_symmetry_space_group_name_H-M 'P 1'
_symmetry_Int_Tables_number 1
_cell_length_a 3.930
_cell_length_b 3.930
_cell_length_c 4.056
_cell_angle_alpha 90.00
_cell_angle_beta 90.00
_cell_angle_gamma 90.00
loop_
_symmetry_equiv_pos_as_xyz
'x,y,z'
loop_
_atom_site_label
_atom_site_fract_x
_atom_site_fract_y
_atom_site_fract_z
Ni1 0.000 0.500 0.000
Ni2 0.500 0.000 0.000
C1 0.000 0.000 0.000
Tc1 0.000 0.000 0.500
In1 0.500 0.500 0.500
```

---

# 6
Tb5SmSc4 | PBE | relaxed

Computed properties:
Formation enthalpy at 0 K = 0.047 eV per atom
Symmetry = P4/mmm, No. 123

```
data_Tb5SmSc4
_symmetry_space_group_name_H-M 'P 1'
_symmetry_Int_Tables_number 1
_cell_length_a 3.501
_cell_length_b 3.501
_cell_length_c 23.628
_cell_angle_alpha 90.00
_cell_angle_beta 90.00
_cell_angle_gamma 90.00
loop_
_symmetry_equiv_pos_as_xyz
'x,y,z'
loop_
_atom_site_label
_atom_site_fract_x
_atom_site_fract_y
_atom_site_fract_z
Tb1 0.500 0.500 0.110
Tb2 0.500 0.500 0.306
Tb3 0.500 0.500 0.500
Tb4 0.500 0.500 0.694
Tb5 0.500 0.500 0.890
Sm1 0.000 0.000 0.000
Sc1 0.000 0.000 0.208
Sc2 0.000 0.000 0.403
Sc3 0.000 0.000 0.597
Sc4 0.000 0.000 0.792
```